Density functional theory data (PBE with a Hubbard U) for crystalline CsRbMnF6 at its relaxed geometry.

abc: 6.3164 6.3164 6.3164
angles: 60.00 60.00 60.00
Sites, in units of the cell vectors:
Cs: 0.7500 0.7500 0.7500
Rb: 0.2500 0.2500 0.2500
Mn: 0.0000 0.0000 0.0000
F: 0.7928 0.7928 0.2072
F: 0.2072 0.7928 0.2072
F: 0.7928 0.2072 0.2072
F: 0.2072 0.2072 0.7928
F: 0.7928 0.2072 0.7928
F: 0.2072 0.7928 0.7928

Summary:
The calculation puts the energy relative to the lowest polymorph listed for this composition at 0.000 eV per atom.